A relaxed ZnSeO3 crystal. Source: Alexandria via LeMat-Bulk, functional PBEsol.

Cell lengths 5.8909, 7.5996, 5.0489 Å; angles 90.00, 90.00, 90.00 degrees
Space group Pnma (No. 62)
Inequivalent atoms, fractional coordinates:
1 Zn 0.0000 0.0000 0.0000 [4 per cell]
2 Se 0.0181 0.2500 0.4835 [4 per cell]
3 O 0.0761 0.2500 0.8215 [4 per cell]
4 O 0.1839 0.0760 0.3619 [8 per cell]

Calculated values
Its energy is -105.8 eV/cell. The value obtained for the uncorrected formation energy is -5.26 eV per formula unit.

=====

A relaxed Cd2RhAu crystal. Source: Alexandria via LeMat-Bulk, functional PBEsol.

Cell lengths 10.2237, 3.0335, 4.7625 Å; angles 90.00, 112.23, 90.00 degrees
Space group Cm (No. 8)
Inequivalent atoms, fractional coordinates:
1 Cd 0.0000 0.0000 0.0000 [2 per cell]
2 Cd 0.2305 0.0000 0.6143 [2 per cell]
3 Rh 0.2435 0.5000 0.1130 [2 per cell]
4 Au 0.4775 0.0000 0.4847 [2 per cell]

Calculated values
The value obtained for the formation energy from the elements is -0.0896 eV per atom. Its energy is -29.6 eV/cell.

=====

A relaxed MnZn2Cr crystal. Source: Alexandria via LeMat-Bulk, functional PBEsol.

Cell lengths 5.9307, 5.9307, 5.9307 Å; angles 90.00, 90.00, 90.00 degrees
Space group Fm-3m (No. 225)
Inequivalent atoms, fractional coordinates:
1 Mn 0.0000 0.0000 0.0000 [4 per cell]
2 Zn 0.2500 0.2500 0.2500 [8 per cell]
3 Cr 0.0000 0.0000 0.5000 [4 per cell]

Calculated values
The value obtained for the formation energy from the elements is 0.2797 eV per atom. Its energy is -88.2 eV/cell.

=====

A relaxed SrY2W crystal. Source: Alexandria via LeMat-Bulk, functional PBEsol.

Cell lengths 4.6936, 4.6936, 9.4420 Å; angles 90.00, 90.00, 90.00 degrees
Space group I-4m2 (No. 119)
Inequivalent atoms, fractional coordinates:
1 Sr 0.0000 0.0000 0.0000 [2 per cell]
2 Y 0.0000 0.0000 0.5000 [2 per cell]
3 Y 0.0000 0.5000 0.7500 [2 per cell]
4 W 0.0000 0.5000 0.2500 [2 per cell]

Calculated values
The value obtained for the formation energy from the elements is 0.8261 eV per atom. Its energy is -52.0 eV/cell.

=====

A relaxed ZrAl2Cu crystal. Source: Alexandria via LeMat-Bulk, functional PBEsol.

Cell lengths 2.9068, 2.9068, 26.9580 Å; angles 90.00, 90.00, 120.00 degrees
Space group R-3m (No. 166, hexagonal axes)
Inequivalent atoms, fractional coordinates:
1 Zr 0.0000 0.0000 0.0000 [3 per cell]
2 Al 0.0000 0.0000 0.2402 [6 per cell]
3 Cu 0.0000 0.0000 0.5000 [3 per cell]

Calculated values
The value obtained for the formation energy from the elements is -0.1027 eV per atom. Its energy is -66.1 eV/cell.

=====

A relaxed Li2Ti3NiO8 crystal. Source: Alexandria via LeMat-Bulk, functional PBEsol.

Cell lengths 5.8538, 5.8538, 9.4968 Å; angles 90.00, 90.00, 120.00 degrees
Space group P6_3mc (No. 186)
Inequivalent atoms, fractional coordinates:
1 Li 0.0000 0.0000 0.0000 [2 per cell]
2 Li 0.3333 0.6667 0.1075 [2 per cell]
3 Ti 0.1686 0.3373 0.7843 [6 per cell]
4 Ni 0.3333 0.6667 0.5118 [2 per cell]
5 O 0.0000 0.0000 0.1838 [2 per cell]
6 O 0.0373 0.5186 0.6654 [6 per cell]
7 O 0.1614 0.3227 0.3935 [6 per cell]
8 O 0.3333 0.6667 0.8964 [2 per cell]

Calculated values
Its energy is -223.8 eV/cell. The value obtained for the uncorrected formation energy is -34.87 eV per formula unit.

=====

A relaxed NaCaRu3 crystal. Source: Alexandria via LeMat-Bulk, functional PBEsol.

Cell lengths 4.5592, 4.5592, 4.5592 Å; angles 90.00, 90.00, 90.00 degrees
Space group Pm-3m (No. 221)
Inequivalent atoms, fractional coordinates:
1 Na 0.0000 0.0000 0.0000 [1 per cell]
2 Ca 0.5000 0.5000 0.5000 [1 per cell]
3 Ru 0.0000 0.0000 0.5000 [3 per cell]

Calculated values
The value obtained for the formation energy from the elements is 2.0964 eV per atom. Its energy is -23.6 eV/cell.

=====

A relaxed YTl2Hg crystal. Source: Alexandria via LeMat-Bulk, functional PBEsol.

Cell lengths 5.2206, 5.6210, 6.9010 Å; angles 90.00, 90.00, 90.00 degrees
Space group Cmmm (No. 65)
Inequivalent atoms, fractional coordinates:
1 Y 0.0000 0.0000 0.0000 [2 per cell]
2 Tl 0.0000 0.5000 0.2613 [4 per cell]
3 Hg 0.0000 0.0000 0.5000 [2 per cell]

Calculated values
The value obtained for the formation energy from the elements is -0.1864 eV per atom. Its energy is -26.8 eV/cell.

=====

A relaxed BeIn3Co crystal. Source: Alexandria via LeMat-Bulk, functional PBEsol.

Cell lengths 4.6887, 4.6887, 4.6887 Å; angles 90.00, 90.00, 90.00 degrees
Space group Pm-3m (No. 221)
Inequivalent atoms, fractional coordinates:
1 Be 0.0000 0.0000 0.0000 [1 per cell]
2 In 0.0000 0.0000 0.5000 [3 per cell]
3 Co 0.5000 0.5000 0.5000 [1 per cell]

Calculated values
The value obtained for the formation energy from the elements is 0.8492 eV per atom. Its energy is -16.4 eV/cell.

=====

A relaxed YMg2Sc crystal. Source: Alexandria via LeMat-Bulk, functional PBEsol.

Cell lengths 3.2238, 5.0035, 6.3922 Å; angles 90.00, 104.38, 90.00 degrees
Space group Pm (No. 6)
Inequivalent atoms, fractional coordinates:
1 Y 0.0000 0.0000 0.0000 [1 per cell]
2 Mg 0.6144 0.5000 0.2313 [1 per cell]
3 Mg 0.7466 0.0000 0.4914 [1 per cell]
4 Sc 0.3531 0.5000 0.7062 [1 per cell]

Calculated values
The value obtained for the formation energy from the elements is 0.0007 eV per atom. Its energy is -16.9 eV/cell.

=====

A relaxed LiPrSn2 crystal. Source: Alexandria via LeMat-Bulk, functional PBEsol.

Cell lengths 4.4519, 18.9926, 4.4813 Å; angles 90.00, 90.00, 90.00 degrees
Space group Cmcm (No. 63)
Inequivalent atoms, fractional coordinates:
1 Li 0.0000 0.1747 0.2500 [4 per cell]
2 Pr 0.0000 0.3936 0.2500 [4 per cell]
3 Sn 0.0000 0.0438 0.2500 [4 per cell]
4 Sn 0.0000 0.2496 0.7500 [4 per cell]

Calculated values
The value obtained for the formation energy from the elements is -0.6259 eV per atom. Its energy is -72.7 eV/cell.

=====

A relaxed Tl2AsW crystal. Source: Alexandria via LeMat-Bulk, functional PBEsol.

Cell lengths 3.2701, 4.9938, 10.0335 Å; angles 90.00, 90.00, 90.00 degrees
Space group Cmmm (No. 65)
Inequivalent atoms, fractional coordinates:
1 Tl 0.0000 0.0000 0.2416 [4 per cell]
2 As 0.0000 0.5000 0.5000 [2 per cell]
3 W 0.0000 0.5000 0.0000 [2 per cell]

Calculated values
The value obtained for the formation energy from the elements is 0.8550 eV per atom. Its energy is -41.5 eV/cell.